P) First-principles (PBE) data for Cr2SiRh2 after structural relaxation, as listed in Alexandria via LeMat-Bulk.

The volume is 14.4 A^3/atom. The density of states at the Fermi level comes out at 5.01 states/eV/f.u.

Lattice parameters (Å, degrees): 5.783 5.783 5.783 142.18 142.18 54.56
Positions (direct):
Cr (0.093, 0.093, 0.000)
Cr (0.907, 0.907, 0.000)
Si (0.500, 0.500, 0.000)
Rh (0.250, 0.750, 0.500)
Rh (0.750, 0.250, 0.500)

***

Q) First-principles (PBE) data for Cr2SiRh2 after structural relaxation, as listed in Alexandria via LeMat-Bulk.

The volume is 13.8 A^3/atom. The density of states at the Fermi level comes out at 5.53 states/eV/f.u.

Lattice parameters (Å, degrees): 7.133 7.133 2.716 90.00 90.00 90.00
Positions (direct):
Cr (0.114, 0.386, 0.000)
Cr (0.386, 0.886, 0.000)
Cr (0.614, 0.114, 0.000)
Cr (0.886, 0.614, 0.000)
Si (0.000, 0.000, 0.000)
Si (0.500, 0.500, 0.000)
Rh (0.176, 0.676, 0.500)
Rh (0.324, 0.176, 0.500)
Rh (0.676, 0.824, 0.500)
Rh (0.824, 0.324, 0.500)

***

Taking the most stable structure as the zero point, the relative energies in meV/atom are P) 91; Q) 0.